A geometry-optimized Li3ErNp2Se6 structure. Source: Alexandria, functional PBE.

Results
Calculated total energy, eV/atom: -6.1059
Space-group type: C2/m (12)

Lattice parameters (Å, degrees): 7.067 7.067 6.898 99.83 99.83 120.00
Each line ends with the local moment (μB).
Sites, in units of the cell vectors:
Li: 0.165 0.835 0.500  0.00
Li: 0.835 0.165 0.500  0.00
Li: 0.500 0.500 0.500  0.00
Er: 0.000 0.000 0.000  0.08
Np: 0.333 0.667 0.000  3.91
Np: 0.667 0.333 0.000  3.91
Se: 0.915 0.585 0.745  -0.06
Se: 0.755 0.755 0.255  -0.06
Se: 0.085 0.415 0.255  -0.06
Se: 0.585 0.915 0.745  -0.06
Se: 0.245 0.245 0.745  -0.06
Se: 0.415 0.085 0.255  -0.06

A geometry-optimized LiErNp2Te4 structure. Source: Alexandria, functional PBE.

Results
Calculated total energy, eV/atom: -6.4926
Space-group type: P2/m (10)

Lattice parameters (Å, degrees): 4.339 7.525 7.563 109.31 90.00 90.00
Each line ends with the local moment (μB).
Sites, in units of the cell vectors:
Li: 0.500 0.500 0.000  -0.01
Er: 0.000 0.000 0.000  0.08
Np: 0.500 0.000 0.500  4.23
Np: 0.000 0.500 0.500  4.25
Te: 0.500 0.251 0.240  -0.04
Te: 0.500 0.749 0.760  -0.04
Te: 0.000 0.258 0.763  -0.06
Te: 0.000 0.742 0.237  -0.06

A geometry-optimized LiErNp2Te5 structure. Source: Alexandria, functional PBE.

Results
Calculated total energy, eV/atom: -6.2037
Space-group type: Cmc2_1 (36)

Lattice parameters (Å, degrees): 4.332 9.496 13.055 90.00 90.00 103.19
Each line ends with the local moment (μB).
Sites, in units of the cell vectors:
Li: 0.560 0.120 0.960  -0.01
Li: 0.440 0.880 0.459  -0.01
Er: 0.801 0.603 0.511  0.00
Er: 0.199 0.397 0.011  0.00
Np: 0.876 0.752 0.805  4.03
Np: 0.108 0.216 0.682  4.03
Np: 0.124 0.248 0.305  4.03
Np: 0.892 0.784 0.182  4.03
Te: 0.363 0.726 0.000  -0.08
Te: 0.690 0.381 0.845  -0.06
Te: 0.499 0.997 0.778  -0.11
Te: 0.285 0.571 0.672  -0.07
Te: 0.954 0.908 0.571  -0.07
Te: 0.637 0.274 0.500  -0.08
Te: 0.310 0.619 0.345  -0.06
Te: 0.501 0.003 0.278  -0.11
Te: 0.715 0.430 0.172  -0.07
Te: 0.046 0.092 0.071  -0.07

A geometry-optimized Li3Er3NpTe8 structure. Source: Alexandria, functional PBE.

Results
Calculated total energy, eV/atom: -4.9595
Space-group type: R-3m (166)

Lattice parameters (Å, degrees): 8.650 8.649 8.649 120.03 90.00 120.00
Each line ends with the local moment (μB).
Sites, in units of the cell vectors:
Li: 0.000 0.000 0.000  0.00
Li: 0.000 0.500 0.000  0.00
Li: 0.500 0.500 0.000  0.00
Er: 0.500 0.000 0.500  0.00
Er: 0.500 0.500 0.500  0.00
Er: 0.000 0.500 0.500  0.00
Np: 0.000 0.000 0.500  3.48
Te: 0.249 0.497 0.246  0.00
Te: 0.751 0.503 0.754  0.00
Te: 0.749 0.498 0.248  -0.06
Te: 0.251 0.502 0.752  -0.06
Te: 0.749 0.999 0.248  -0.06
Te: 0.251 0.001 0.752  -0.06
Te: 0.250 0.999 0.248  -0.06
Te: 0.750 0.001 0.752  -0.06

A geometry-optimized LiErNpTe3 structure. Source: Alexandria, functional PBE.

Results
Calculated total energy, eV/atom: -5.7602
Space-group type: P2_1/m (11)

Lattice parameters (Å, degrees): 4.251 8.889 9.476 103.80 90.00 90.00
Each line ends with the local moment (μB).
Sites, in units of the cell vectors:
Li: 0.250 0.085 0.582  0.00
Li: 0.750 0.915 0.418  0.00
Er: 0.250 0.670 0.163  -0.10
Er: 0.750 0.330 0.837  -0.10
Np: 0.250 0.182 0.228  -4.30
Np: 0.750 0.818 0.772  -4.30
Te: 0.750 0.906 0.129  0.04
Te: 0.250 0.094 0.871  0.04
Te: 0.250 0.763 0.500  0.03
Te: 0.750 0.237 0.500  0.03
Te: 0.750 0.429 0.171  0.03
Te: 0.250 0.571 0.829  0.03

A geometry-optimized Li2ErNpTe4 structure. Source: Alexandria, functional PBE.

Results
Calculated total energy, eV/atom: -5.2611
Space-group type: P2/m (10)

Lattice parameters (Å, degrees): 4.349 7.547 7.490 109.59 90.00 90.00
Each line ends with the local moment (μB).
Sites, in units of the cell vectors:
Li: 0.500 0.000 0.500  0.00
Li: 0.000 0.500 0.500  -0.01
Er: 0.500 0.500 0.000  0.04
Np: 0.000 0.000 0.000  3.97
Te: 0.500 0.258 0.258  -0.05
Te: 0.500 0.742 0.742  -0.05
Te: 0.000 0.253 0.745  -0.03
Te: 0.000 0.747 0.255  -0.03

Number 1: density of states at the Fermi level 22.45 states/eV per cell, raw formation energy -130.1 kJ/mol of atoms. Number 2: density of states at the Fermi level 22.28 states/eV per cell, raw formation energy -84.6 kJ/mol of atoms. Number 3: density of states at the Fermi level 26.78 states/eV per cell, raw formation energy -83.3 kJ/mol of atoms. Number 4: density of states at the Fermi level 2.98 states/eV per cell, raw formation energy -108.6 kJ/mol of atoms. Number 5: density of states at the Fermi level 24.07 states/eV per cell, raw formation energy -92.0 kJ/mol of atoms. Number 6: density of states at the Fermi level 8.54 states/eV per cell, raw formation energy -98.8 kJ/mol of atoms.